VASP calculation (PBEsol) on a relaxed Pt2PbAu crystal.

Summary:
magnetization = 0.00 Bohr magnetons per cell
density of states at the Fermi level = 0.35 states/eV/atom
energy of formation from the pure elements = 40 meV per atom
energy = -0.1993 Ha/atom
ρ = 18.702 g/cm³

a b c (Å): 4.540 4.540 3.490
angles (deg): 90.00 90.00 101.33
Sites, in units of the cell vectors:
Pt 0.000 0.500 0.000
Pt 0.500 0.000 0.000
Pb 0.000 0.000 0.500
Au 0.500 0.500 0.500